Here is an optimized crystal structure of Zn2AuSe from the Alexandria database. Energies are from PBEsol.

Summary:
density of states at the Fermi level = 1.6 states/eV per cell
uncorrected energy = -2.649 eV per atom
E_form (uncorrected) = 33 kJ/mol of formula units

Lattice parameters (Å, degrees): 4.886 4.886 4.886 130.15 130.15 73.17
Atoms (fractional coordinates):
Zn 0.250 0.750 0.500
Zn 0.750 0.250 0.500
Au 0.000 0.000 0.000
Se 0.500 0.500 0.000